## ZrTiHW2 (GGA-PBE)

Data for a relaxed structure of ZrTiHW2.

Cell: 4.9910 4.9910 3.2308 Å, 90.00 90.00 90.00°
Last column: nearest neighbours and their distance in Å.
Space group P4/mmm (No. 123)
Inequivalent atoms, fractional coordinates:
Zr1 0.0000 0.0000 0.0000  8 W 2.97, 2 Zr 3.23
Ti1 0.5000 0.5000 0.5000  2 H 1.62
H1 0.5000 0.5000 0.0000  2 Ti 1.62
W1 0.0000 0.5000 0.5000  2 Ti 2.50

- Total DFT energy (no corrections): -8.21 eV/atom

---

## CaY3Ir (GGA-PBE)

Data for a relaxed structure of CaY3Ir.

Cell: 8.6609 3.9155 8.8103 Å, 90.00 101.76 90.00°
Last column: nearest neighbours and their distance in Å.
Space group Pm (No. 6)
Inequivalent atoms, fractional coordinates:
Ca1 0.0000 0.0000 0.0000  3 Ir 3.07-3.24, 3 Y 3.40-3.42
Ca2 0.0659 0.5000 0.3627  3 Ir 3.10-3.45
Y1 0.2833 0.0000 0.6885  2 Ir 2.82
Y2 0.3296 0.5000 0.0445  3 Ir 2.85-3.02
Y3 0.4959 0.5000 0.4477  2 Ir 2.78
Y4 0.6456 0.5000 0.8493  10 Y 3.51-3.92, 2 Ca 3.65
Y5 0.6545 0.0000 0.1846  1 Ir 3.23, 6 Y 3.44-3.53
Y6 0.8562 0.0000 0.6104  2 Ir 2.83
Ir1 0.0732 0.5000 0.7560  5 Y 2.82-3.02, 2 Ca 3.07
Ir2 0.3112 0.0000 0.2749  4 Y 2.78-2.85, 2 Ca 3.10

- DFT formation energy: -0.351 eV per atom
- Energy relative to the lowest polymorph listed for this composition: 25 kJ/mol of formula units

---

## RbTlCrCl6 (GGA-PBE)

Data for a relaxed structure of RbTlCrCl6.

Cell: 6.0726 7.5083 7.5237 Å, 60.28 89.98 89.97°
Last column: nearest neighbours and their distance in Å.
Space group P1 (No. 1)
Inequivalent atoms, fractional coordinates:
Rb1 0.0000 0.0000 0.0000  6 Cl 3.21
Tl1 0.4999 0.3332 0.3330  6 Cl 3.28-3.32
Cr1 0.0003 0.6664 0.6651  6 Cl 2.32
Cl1 0.2219 0.9211 0.6576  1 Cr 2.32
Cl2 0.2232 0.6594 0.4184  1 Cr 2.32
Cl3 0.2247 0.4219 0.9165  1 Cr 2.32
Cl4 0.7761 0.9182 0.4205  1 Cr 2.32
Cl5 0.7777 0.6588 0.9186  1 Cr 2.32
Cl6 0.7789 0.4190 0.6574  1 Cr 2.32

- Raw formation energy: -1124 meV per atom

---

## PaTeAu (GGA-PBE)

Data for a relaxed structure of PaTeAu.

Cell: 3.8098 3.8098 10.1032 Å, 90.00 90.00 90.00°
Last column: nearest neighbours and their distance in Å.
Space group I4mm (No. 107)
Inequivalent atoms, fractional coordinates:
Pa1 0.0000 0.0000 0.0000  5 Au 3.12-3.48, 5 Te 3.21-3.31
Te1 0.0000 0.0000 0.3272  5 Au 3.20-3.32, 5 Pa 3.21-3.31
Au1 0.0000 0.0000 0.6557  5 Pa 3.12-3.48, 5 Te 3.20-3.32

- Raw formation energy: -479 meV per atom
- Energy relative to the lowest polymorph listed for this composition: 30 kJ/mol of formula units

---

## Sc4ZnCo (GGA-PBE)

Data for a relaxed structure of Sc4ZnCo.

Cell: 12.3278 12.3278 12.3278 Å, 90.00 90.00 90.00°
Last column: nearest neighbours and their distance in Å.
Space group F-43m (No. 216)
Inequivalent atoms, fractional coordinates:
Sc1 0.0000 0.0000 0.1873  2 Zn 2.99, 10 Sc 3.15-3.27, 2 Co 3.15
Sc2 0.0596 0.2500 0.2500  2 Co 2.56
Sc3 0.1019 0.1019 0.6019  3 Co 2.58
Zn1 0.1711 0.1711 0.8289  3 Zn 2.75, 6 Sc 2.99-3.05
Co1 0.1073 0.1073 0.3927  6 Sc 2.56-2.58

- DFT formation energy: -0.288 eV per atom
- Energy relative to the lowest polymorph listed for this composition: 0 kJ/mol of formula units

---

## Fe3MoAs (GGA-PBE)

Data for a relaxed structure of Fe3MoAs.

Cell: 4.4874 4.4874 4.4874 Å, 90.00 90.00 90.00°
Last column: nearest neighbours and their distance in Å.
Space group Pm-3m (No. 221)
Inequivalent atoms, fractional coordinates:
Fe1 0.0000 0.0000 0.5000  2 Mo 2.24
Mo1 0.0000 0.0000 0.0000  6 Fe 2.24
As1 0.5000 0.5000 0.5000  12 Fe 3.17

- DFT formation energy: 1.509 eV per atom
- Energy relative to the lowest polymorph listed for this composition: 239 kJ/mol of formula units

---

## Tl12Sb5Se3 (GGA-PBE)

Data for a relaxed structure of Tl12Sb5Se3.

Cell: 18.1140 18.1140 18.1140 Å, 90.00 90.00 90.00°
Last column: nearest neighbours and their distance in Å.
Space group Ia-3d (No. 230)
Inequivalent atoms, fractional coordinates:
Tl1 0.0119 0.0741 0.6547  2 Sb 3.00-3.12, 2 Se 3.24-3.31, 1 Tl 3.31
Sb1 0.0000 0.0000 0.0000  6 Tl 3.12
Sb2 0.0000 0.2500 0.3750  4 Tl 3.00
Se1 0.0000 0.2500 0.1250  8 Tl 3.24-3.31

- Raw formation energy: 73 meV per atom

---

## NaTiPbF6 (GGA-PBE)

Data for a relaxed structure of NaTiPbF6.

Cell: 6.0947 6.0947 8.6613 Å, 90.00 90.00 120.00°
Last column: nearest neighbours and their distance in Å.
Space group P-31c (No. 163)
Inequivalent atoms, fractional coordinates:
Na1 0.0000 0.0000 0.0000  6 F 2.44
Ti1 0.3333 0.6667 0.2500  6 F 2.00
Pb1 0.3333 0.6667 0.7500  6 F 2.49
F1 0.0593 0.3805 0.1297  1 Ti 2.00

- Raw formation energy: -2848 meV per atom